First-principles (PBE-GGA) data for Ba2NpCuSe5 after structural relaxation, as listed in Alexandria via LeMat-Bulk.

Results
* raw formation energy: -1.337 eV/atom

Unit cell a=4.2816 b=18.7014 c=13.2806 alpha=90.00 beta=90.00 gamma=90.00
With the nearest neighbours (Å) after each atom.
Space group Cmc2_1 (No. 36)
One atom of each set of equivalent atoms:
Ba1 0.0000 0.1164 0.0000 x4  7 Se 3.18-3.50
Ba2 0.0000 0.1188 0.3691 x4  7 Se 3.20-3.53
Np1 0.0000 0.1981 0.6896 x4  6 Se 2.69-2.85
Cu1 0.0000 0.4284 0.0967 x4  4 Se 2.41-2.48
Se1 0.0000 0.0540 0.6882 x4  2 Cu 2.48, 1 Np 2.69
Se2 0.0000 0.3005 0.0476 x4  1 Cu 2.48
Se3 0.0000 0.3008 0.3297 x4  2 Np 2.84
Se4 0.0000 0.3447 0.6849 x4  1 Np 2.74
Se5 0.0000 0.4971 0.9429 x4  1 Cu 2.41

=====

First-principles (PBE-GGA) data for CrNiRh after structural relaxation, as listed in Alexandria via LeMat-Bulk.

Results
* ΔE_f: -5.0 kJ/mol of atoms

Unit cell a=2.6151 b=3.6088 c=7.7924 alpha=90.00 beta=90.00 gamma=90.00
With the nearest neighbours (Å) after each atom.
Space group Imm2 (No. 44)
One atom of each set of equivalent atoms:
Cr1 0.0000 0.0000 0.0000 x2  5 Ni 2.56-2.64, 5 Rh 2.58-2.59, 2 Cr 2.62
Ni1 0.0000 0.0000 0.6609 x2  5 Rh 2.56-2.60, 5 Cr 2.56-2.64, 2 Ni 2.62
Rh1 0.0000 0.0000 0.3330 x2  5 Ni 2.56-2.60, 5 Cr 2.58-2.59, 2 Rh 2.62

=====

no.,E_tot (eV/f.u.),V (Å³ per atom)
1,-50.34,29.54
2,-22.91,12.26